Compound: AcCrH5
Source: Alexandria via LeMat-Bulk
Functional: PBE-GGA
Structure: optimized geometry

Results
uncorrected energy	-4.608	eV/atom

Cell and atoms, written as CIF:
```
data_AcCrH5
_chemical_formula_sum 'Ac2 Cr2 H10'
_symmetry_space_group_name_H-M 'I m m m'
_symmetry_Int_Tables_number 71
_symmetry_space_group_name_Hall '-I 2 2'
_cell_length_a 3.9659
_cell_length_b 5.2406
_cell_length_c 7.0389
_cell_angle_alpha 90.00
_cell_angle_beta 90.00
_cell_angle_gamma 90.00
loop_
_atom_site_label
_atom_site_fract_x
_atom_site_fract_y
_atom_site_fract_z
_atom_site_occupancy
Ac1 0.0000 0.0000 0.0000 1
Cr1 0.0000 0.0000 0.5000 1
H1 0.0000 0.2478 0.3382 1
H2 0.0000 0.5000 0.0000 1
```